CaBeAl: relaxed, GGA-PBE.

Its offset from the most stable computed form is 0.934 eV per atom. As for the density of states at the Fermi level: 1.48 states/eV per atom. The formation energy from the elements comes out at 0.95 eV/atom.

It has space group F-43m (No. 216), with a = 6.773 Å, b = 6.773 Å, c = 6.773 Å, α = 90.00°, β = 90.00° and γ = 90.00°. The asymmetric unit holds Ca at (0.000, 0.000, 0.000), Be at (0.250, 0.250, 0.250) and Al at (0.250, 0.250, 0.750).

=====

CaBeAl2: relaxed, GGA-PBE.

As for the density of states at the Fermi level: 0.50 states/eV per atom. The formation energy from the elements comes out at 0.18 eV/atom.

It has space group Immm (No. 71), with a = 2.880 Å, b = 5.197 Å, c = 9.885 Å, α = 90.00°, β = 90.00° and γ = 90.00°. The asymmetric unit holds Ca at (0.000, 0.000, 0.000), Be at (0.000, 0.000, 0.500) and Al at (0.000, 0.500, 0.205).

=====

CaBeAl2: relaxed, GGA-PBE.

As for the density of states at the Fermi level: 0.39 states/eV per atom. The formation energy from the elements comes out at 0.34 eV/atom.

It has space group C2/m (No. 12), with a = 5.749 Å, b = 9.753 Å, c = 2.812 Å, α = 90.00°, β = 111.22° and γ = 90.00°. The asymmetric unit holds Ca at (0.000, 0.000, 0.000), Be at (0.000, 0.500, 0.000) and Al at (0.250, 0.250, 0.500).

=====

CaBeAl2: relaxed, GGA-PBE.

As for the density of states at the Fermi level: 0.52 states/eV per atom. The formation energy from the elements comes out at 0.36 eV/atom.

It has space group R-3m (No. 166, hexagonal axes), with a = 3.1205 Å, b = 3.1205 Å, c = 27.3872 Å, α = 90.00°, β = 90.00° and γ = 120.00°. The asymmetric unit holds Ca at (0.0000, 0.0000, 0.0000), Be at (0.0000, 0.0000, 0.5000) and Al at (0.0000, 0.0000, 0.2349).